# 1
A plane-wave DFT calculation with GGA-PBEsol was carried out for crystalline YAgW2O8 at its relaxed geometry.

Geometry as CIF:
```
data_YAgW2O8
_chemical_formula_sum 'Y2 Ag2 W4 O16'
_cell_length_a 5.134
_cell_length_b 5.820
_cell_length_c 11.097
_cell_angle_alpha 90.00
_cell_angle_beta 113.79
_cell_angle_gamma 90.00
_symmetry_space_group_name_H-M 'P 1 2/c 1'
_symmetry_Int_Tables_number 13
loop_
_symmetry_equiv_pos_as_xyz
'x,y,z'
'-x,-y,-z'
'-x,y,-z+1/2'
'x,-y,z+1/2'
loop_
_atom_site_label
_atom_site_fract_x
_atom_site_fract_y
_atom_site_fract_z
Y1 0.000 0.207 0.250
Ag1 0.500 0.196 0.750
W1 0.239 0.324 0.991
O1 0.134 0.427 0.612
O2 0.218 0.132 0.115
O3 0.247 0.115 0.874
O4 0.356 0.390 0.407
```

Output
total magnetization	0.00	μB/cell
excess energy over the best structure of this formula in the dataset	15	meV/atom
formation energy from raw total energies	-26.74	eV per formula unit



# 2
A plane-wave DFT calculation with GGA-PBEsol was carried out for crystalline GaPBr2 at its relaxed geometry.

Geometry as CIF:
```
data_GaPBr2
_chemical_formula_sum 'Ga3 P3 Br6'
_cell_length_a 3.2996
_cell_length_b 3.2996
_cell_length_c 28.2570
_cell_angle_alpha 90.00
_cell_angle_beta 90.00
_cell_angle_gamma 120.00
_symmetry_space_group_name_H-M 'R -3 m'
_symmetry_Int_Tables_number 166
_symmetry_space_group_name_Hall '-R 3 2"'
loop_
_atom_site_label
_atom_site_fract_x
_atom_site_fract_y
_atom_site_fract_z
Ga1 0.0000 0.0000 0.0000
P1 0.0000 0.0000 0.5000
Br1 0.0000 0.0000 0.0944
```

Output
total magnetization	0.00	μB/cell
formation energy from raw total energies	1.58	eV per formula unit



# 3
A plane-wave DFT calculation with GGA-PBEsol was carried out for crystalline Li3Mn4O8 at its relaxed geometry.

Geometry as CIF:
```
data_Li3Mn4O8
_chemical_formula_sum 'Li6 Mn8 O16'
_cell_length_a 7.873
_cell_length_b 8.274
_cell_length_c 5.614
_cell_angle_alpha 90.00
_cell_angle_beta 133.89
_cell_angle_gamma 90.00
_symmetry_space_group_name_H-M 'C 1 2/m 1'
_symmetry_Int_Tables_number 12
loop_
_symmetry_equiv_pos_as_xyz
'x,y,z'
'-x,-y,-z'
'-x,y,-z'
'x,-y,z'
'x+1/2,y+1/2,z'
'-x+1/2,-y+1/2,-z'
'-x+1/2,y+1/2,-z'
'x+1/2,-y+1/2,z'
loop_
_atom_site_label
_atom_site_fract_x
_atom_site_fract_y
_atom_site_fract_z
Li1 0.000 0.000 0.000
Li2 0.250 0.250 0.000
Mn1 0.000 0.500 0.000
Mn2 0.000 0.500 0.500
Mn3 0.250 0.250 0.500
O1 0.000 0.264 0.000
O2 0.000 0.269 0.500
O3 0.220 0.500 0.962
O4 0.234 0.500 0.481
```

Output
total magnetization	25.89	μB/cell
excess energy over the best structure of this formula in the dataset	7	meV/atom
formation energy from raw total energies	-26.76	eV per formula unit



# 4
A plane-wave DFT calculation with GGA-PBEsol was carried out for crystalline NaNd2OsO6 at its relaxed geometry.

Geometry as CIF:
```
data_NaNd2OsO6
_chemical_formula_sum 'Na2 Nd4 Os2 O12'
_cell_length_a 5.485
_cell_length_b 5.935
_cell_length_c 9.537
_cell_angle_alpha 90.00
_cell_angle_beta 123.94
_cell_angle_gamma 90.00
_symmetry_space_group_name_H-M 'P 1 21/c 1'
_symmetry_Int_Tables_number 14
loop_
_symmetry_equiv_pos_as_xyz
'x,y,z'
'-x,-y,-z'
'-x,y+1/2,-z+1/2'
'x,-y+1/2,z+1/2'
loop_
_atom_site_label
_atom_site_fract_x
_atom_site_fract_y
_atom_site_fract_z
Na1 0.000 0.000 0.000
Nd1 0.223 0.074 0.747
Os1 0.500 0.000 0.500
O1 0.153 0.174 0.448
O2 0.266 0.718 0.430
O3 0.391 0.051 0.268
```

Output
total magnetization	6.00	μB/cell
formation energy from raw total energies	-23.44	eV per formula unit



# 5
A plane-wave DFT calculation with GGA-PBEsol was carried out for crystalline La2CdIn at its relaxed geometry.

Geometry as CIF:
```
data_La2CdIn
_chemical_formula_sum 'La2 Cd1 In1'
_cell_length_a 3.820
_cell_length_b 5.226
_cell_length_c 5.611
_cell_angle_alpha 90.00
_cell_angle_beta 90.00
_cell_angle_gamma 90.00
_symmetry_space_group_name_H-M 'P m m 2'
_symmetry_Int_Tables_number 25
loop_
_symmetry_equiv_pos_as_xyz
'x,y,z'
'-x,-y,z'
'-x,y,z'
'x,-y,z'
loop_
_atom_site_label
_atom_site_fract_x
_atom_site_fract_y
_atom_site_fract_z
La1 0.000 0.000 0.000
La2 0.000 0.500 0.375
Cd1 0.500 0.500 0.857
In1 0.500 0.000 0.514
```

Output
total magnetization	0.00	μB/cell
formation energy from the elements	-168	kJ/mol of formula units



# 6
A plane-wave DFT calculation with GGA-PBEsol was carried out for crystalline MnCoIr2 at its relaxed geometry.

Geometry as CIF:
```
data_MnCoIr2
_chemical_formula_sum 'Mn2 Co2 Ir4'
_cell_length_a 2.759
_cell_length_b 4.384
_cell_length_c 8.742
_cell_angle_alpha 90.00
_cell_angle_beta 90.00
_cell_angle_gamma 90.00
_symmetry_space_group_name_H-M 'I m m m'
_symmetry_Int_Tables_number 71
_symmetry_space_group_name_Hall '-I 2 2'
loop_
_atom_site_label
_atom_site_fract_x
_atom_site_fract_y
_atom_site_fract_z
Mn1 0.000 0.000 0.000
Co1 0.000 0.000 0.500
Ir1 0.000 0.500 0.267
```

Output
total magnetization	9.97	μB/cell
formation energy from the elements	78	kJ/mol of formula units



# 7
A plane-wave DFT calculation with GGA-PBEsol was carried out for crystalline Ba2SrAg at its relaxed geometry.

Geometry as CIF:
```
data_Ba2SrAg
_chemical_formula_sum 'Ba2 Sr1 Ag1'
_cell_length_a 4.040
_cell_length_b 4.040
_cell_length_c 10.458
_cell_angle_alpha 90.00
_cell_angle_beta 90.00
_cell_angle_gamma 90.00
_symmetry_space_group_name_H-M 'P 4 m m'
_symmetry_Int_Tables_number 99
loop_
_symmetry_equiv_pos_as_xyz
'x,y,z'
'-y,x,z'
'-x,-y,z'
'y,-x,z'
'-x,y,z'
'y,x,z'
'x,-y,z'
'-y,-x,z'
loop_
_atom_site_label
_atom_site_fract_x
_atom_site_fract_y
_atom_site_fract_z
Ba1 0.000 0.000 0.000
Ba2 0.500 0.500 0.331
Sr1 0.500 0.500 0.686
Ag1 0.000 0.000 0.520
```

Output
total magnetization	0.00	μB/cell
excess energy over the best structure of this formula in the dataset	0	meV/atom
formation energy from the elements	-37	kJ/mol of formula units



# 8
A plane-wave DFT calculation with GGA-PBEsol was carried out for crystalline BaTcW at its relaxed geometry.

Geometry as CIF:
```
data_BaTcW
_chemical_formula_sum 'Ba1 Tc1 W1'
_cell_length_a 4.1015
_cell_length_b 4.1015
_cell_length_c 5.5480
_cell_angle_alpha 90.00
_cell_angle_beta 90.00
_cell_angle_gamma 120.00
_symmetry_space_group_name_H-M 'P 3 m 1'
_symmetry_Int_Tables_number 156
loop_
_symmetry_equiv_pos_as_xyz
'x,y,z'
'-y,x-y,z'
'-x+y,-x,z'
'-y,-x,z'
'-x+y,y,z'
'x,x-y,z'
loop_
_atom_site_label
_atom_site_fract_x
_atom_site_fract_y
_atom_site_fract_z
Ba1 0.0000 0.0000 0.0000
Tc1 0.3333 0.6667 0.5127
W1 0.6667 0.3333 0.4902
```

Output
total magnetization	0.00	μB/cell
excess energy over the best structure of this formula in the dataset	0	meV/atom
formation energy from the elements	273	kJ/mol of formula units